Below is a geometry-optimized Ta3GaGe structure, with properties calculated at the PBE-GGA level.

Properties
The calculation puts the magnetization at 0.0 μB/f.u. The calculation puts the formation energy at -0.078 eV per atom. As for the energy above the lowest structure with this stoichiometry: 0 meV per atom. Its density of states at the Fermi level is 3.10 states/eV/f.u. The space group is C2/c (15).

a b c (Å): 7.551 7.551 9.732
angles (deg): 80.32 80.32 39.22
Fractional positions:
1 Ta 0.686 0.202 0.016
2 Ge 0.512 0.488 0.250
3 Ta 0.737 0.664 0.231
4 Ta 0.922 0.883 0.270
5 Ta 0.078 0.117 0.730
6 Ge 0.000 0.500 0.500
7 Ga 0.095 0.607 0.024
8 Ge 0.488 0.512 0.750
9 Ga 0.393 0.905 0.476
10 Ta 0.263 0.336 0.769
11 Ga 0.905 0.393 0.976
12 Ta 0.117 0.078 0.230
13 Ta 0.798 0.314 0.484
14 Ge 0.500 0.000 0.000
15 Ta 0.664 0.737 0.731
16 Ga 0.607 0.095 0.524
17 Ta 0.202 0.686 0.516
18 Ta 0.314 0.798 0.984
19 Ta 0.336 0.263 0.269
20 Ta 0.883 0.922 0.770